Record 1
YInS2Cl: relaxed, PBE.

abc: 5.3168 5.3168 5.3113
angles: 90.00 90.00 90.00
Sites, in units of the cell vectors:
Y1 0.0000 0.0000 0.0000
In1 0.5000 0.5000 0.5000
S1 0.0000 0.5000 0.0000
S2 0.5000 0.0000 0.0000
Cl1 0.0000 0.0000 0.5000

Properties
- Energy relative to the elements, uncorrected: -1.055 eV per atom
- Space-group type: P4/mmm (123)
- Spin magnetization: 0.94 μB per formula unit
- Theoretical density: 3.35 g cm⁻³


Record 2
YInS2Cl: relaxed, PBE.

abc: 5.0349 5.0349 4.9444
angles: 90.00 90.00 90.00
Sites, in units of the cell vectors:
Y1 0.0000 0.0000 0.0000
In1 0.5000 0.5000 0.5000
S1 0.0000 0.5000 0.5000
S2 0.5000 0.0000 0.5000
Cl1 0.5000 0.5000 0.0000

Properties
- Energy relative to the elements, uncorrected: -0.570 eV per atom
- Space-group type: P4/mmm (123)
- Spin magnetization: 0.00 μB per formula unit
- Theoretical density: 4.02 g cm⁻³


What volume values result from the calculations? In sequence: 150, 125 Å³/cell.